Density functional theory data (PBE with a Hubbard U) for an optimized crystal structure of V4Cu9Cl2O18.

abc: 6.5338 8.3917 9.3416
angles: 104.94 96.34 107.43
Each line ends with the local moment (μB).
Sites, in units of the cell vectors:
V  0.1121  0.5849  0.3527  0.05
V  0.8879  0.4151  0.6473  0.05
V  0.6778  0.7514  0.1495  0.02
V  0.3222  0.2486  0.8505  0.02
Cu  0.8545  0.2719  0.9639  0.46
Cu  0.1455  0.7281  0.0361  0.46
Cu  0.5820  0.4550  0.3559  0.46
Cu  0.4180  0.5450  0.6441  0.46
Cu  0.8330  0.1701  0.3112  -0.30
Cu  0.1670  0.8299  0.6888  -0.30
Cu  0.5000  0.0000  0.0000  -0.23
Cu  0.0000  0.0000  0.0000  0.35
Cu  0.0000  0.0000  0.5000  0.46
Cl  0.3498  0.1329  0.2696  0.00
Cl  0.6502  0.8671  0.7304  0.00
O  0.6103  0.5641  0.1956  0.05
O  0.3897  0.4359  0.8044  0.05
O  0.8618  0.4089  0.3398  0.02
O  0.1382  0.5911  0.6602  0.02
O  0.6579  0.4629  0.5786  0.08
O  0.3421  0.5371  0.4214  0.08
O  0.9102  0.2184  0.5321  0.01
O  0.0898  0.7816  0.4679  0.01
O  0.8826  0.4064  0.8267  0.05
O  0.1174  0.5936  0.1733  0.05
O  0.1240  0.2292  0.9664  0.09
O  0.8760  0.7708  0.0336  0.09
O  0.8052  0.1104  0.0952  0.05
O  0.1948  0.8896  0.9048  0.05
O  0.5467  0.2159  0.9491  0.03
O  0.4533  0.7841  0.0509  0.03
O  0.7913  0.9342  0.3160  0.01
O  0.2087  0.0658  0.6840  0.01

- total energy (eV for the cell shown) = -195.41